Computed, not measured: an optimized crystal structure of Sm3SnSb2 at the PBE level of DFT.

Cell: 7.803 13.433 7.667 Å, 90.00 109.61 90.00°
Space group C2/c (No. 15)
One atom of each set of equivalent atoms:
Sm 0.246 0.085 0.002 (multiplicity 8)
Sm 0.250 0.250 0.500 (multiplicity 4)
Sn 0.000 0.417 0.250 (multiplicity 4)
Sb 0.000 0.083 0.250 (multiplicity 4)
Sb 0.000 0.250 0.750 (multiplicity 4)

Values from the calculation:
- VASP energy (eV per atom) = -5.37
- size of the total moment (μB per formula unit) = 0.0
- DOS at the Fermi energy (states/eV per cell) = 11.212